VASP calculation (GGA-PBE) on a relaxed structure of NdZrIn.

Geometry as extended XYZ:
```
6
Lattice="0.000 4.431 6.412 2.882 0.000 6.412 2.882 4.431 0.000" Properties=species:S:1:pos:R:3 pbc="T T T"
Nd 2.882 1.545 6.412
Nd 2.882 7.317 6.412
Zr 1.441 2.215 3.206
Zr 4.322 6.646 9.618
In 2.882 4.431 4.892
In 2.882 4.431 7.932
```

The value obtained for the density of states at the Fermi level is 0.99 states/eV per atom. The energy above the most stable polymorph in this dataset comes out at 145.9 meV/atom. Its total magnetic moment is 0.00 μB per formula unit. Its final energy is -32.10 eV for the cell shown.